{
  "formula": "TePIr2",
  "functional": "PBE",
  "state": "relaxed",
  "cell": [[2.986, 0.000, 0.000], [0.000, 2.986, 0.000], [0.000, 0.000, 7.413]],
  "species": ["Te", "P", "Ir", "Ir"],
  "frac_coords": [[0.500, 0.500, 0.500], [0.500, 0.500, 0.000], [0.000, 0.000, 0.811], [0.000, 0.000, 0.189]],
  "sg": "P4/mmm, No. 123",
  "dft_energy_ev_per_atom": -6.31,
  "relative_energy_ev_per_atom": 0.4901
}